Entry from Alexandria: a geometry-optimized PaTc2Rh structure (PBE).

a b c (Å): 4.1513 4.0427 4.0427
angles (deg): 90.00 90.00 90.00
Sites, in units of the cell vectors:
1 Pa 0.5000 0.5000 0.5000
2 Rh 0.5000 0.0000 0.0000
3 Tc 0.0000 0.0000 0.5000
4 Tc 0.0000 0.5000 0.0000

Its formation energy is -268 meV/atom. The value obtained for the raw total energy is -38.65 eV/cell. As for the magnetic moment: 0.0 μB per cell.